Entry from the Alexandria database: NaTbCdAg after structural relaxation (PBE).

a b c (Å): 5.154 5.154 5.154
angles (deg): 60.00 60.00 60.00
Element x y z (fractional)
Na  0.000  0.000  0.000
Tb  0.500  0.500  0.500
Cd  0.750  0.750  0.750
Ag  0.250  0.250  0.250

Properties
Energy of formation: -0.10 eV/atom

=====

Entry from the Alexandria database: NaThCdAg after structural relaxation (PBE).

a b c (Å): 5.238 5.238 5.238
angles (deg): 60.00 60.00 60.00
Element x y z (fractional)
Na  0.000  0.000  0.000
Th  0.500  0.500  0.500
Cd  0.250  0.250  0.250
Ag  0.750  0.750  0.750

Properties
Energy of formation: 0.05 eV/atom

=====

| no. | density of states at the Fermi level (states/eV/f.u.) | magnetic moment (μB/f.u.) | VASP energy (eV/cell) |
| --- | --- | --- | --- |
| 1 | 3.42 | 0.0 | -10.133 |
| 2 | 2.72 | 0.0 | -12.317 |